First-principles (PBE) data for ZnGaSeBr2 after structural relaxation, as listed in Alexandria.

a b c (Å): 5.907 4.759 5.907
angles (deg): 90.00 90.00 90.00
Sites, in units of the cell vectors:
1 Zn 0.000 0.500 0.000
2 Ga 0.500 0.500 0.500
3 Se 0.000 0.000 0.000
4 Br 0.000 0.000 0.500
5 Br 0.500 0.000 0.000

Results
- Symmetry: No. 123
- Raw formation energy: 38 meV/atom
- Calculated total energy: -2.188 eV per atom
- Relative energy among the computed polymorphs: 253.6 meV per atom


First-principles (PBE) data for GaSiBr2 after structural relaxation, as listed in Alexandria.

a b c (Å): 9.573 9.573 9.573
angles (deg): 22.22 22.22 22.22
Sites, in units of the cell vectors:
1 Si 0.000 0.000 0.000
2 Ga 0.500 0.500 0.500
3 Br 0.909 0.909 0.909
4 Br 0.091 0.091 0.091

Results
- Symmetry: No. 166
- Raw formation energy: 55 meV/atom
- Calculated total energy: -2.894 eV per atom
- Relative energy among the computed polymorphs: 0.0 meV per atom


First-principles (PBE) data for GaSiBr2 after structural relaxation, as listed in Alexandria.

a b c (Å): 5.134 5.134 5.134
angles (deg): 60.00 60.00 60.00
Sites, in units of the cell vectors:
1 Si 0.000 0.000 0.000
2 Ga 0.500 0.500 0.500
3 Br 0.250 0.250 0.250
4 Br 0.750 0.750 0.750

Results
- Symmetry: No. 225
- Raw formation energy: 196 meV/atom
- Calculated total energy: -2.753 eV per atom
- Relative energy among the computed polymorphs: 141.5 meV per atom


First-principles (PBE) data for GaSiBr after structural relaxation, as listed in Alexandria.

a b c (Å): 5.127 3.978 24.838
angles (deg): 94.59 20.42 90.00
Sites, in units of the cell vectors:
1 Ga 0.614 0.177 0.354
2 Ga 0.386 0.823 0.646
3 Br 0.128 0.406 0.812
4 Br 0.872 0.594 0.188
5 Si 0.842 0.725 0.449
6 Si 0.158 0.275 0.551

Results
- Symmetry: No. 12
- Raw formation energy: -47 meV/atom
- Calculated total energy: -3.421 eV per atom


First-principles (PBE) data for GaSi3Br after structural relaxation, as listed in Alexandria.

a b c (Å): 4.907 4.907 4.907
angles (deg): 90.00 90.00 90.00
Each line ends with the local moment (μB).
Sites, in units of the cell vectors:
1 Si 0.000 0.500 0.000  0.05
2 Si 0.000 0.000 0.500  0.05
3 Si 0.500 0.000 0.000  0.05
4 Ga 0.000 0.000 0.000  0.00
5 Br 0.500 0.500 0.500  0.11

Results
- Symmetry: No. 221
- Raw formation energy: 990 meV/atom
- Calculated total energy: -3.204 eV per atom
- Relative energy among the computed polymorphs: 0.0 meV per atom


First-principles (PBE) data for Ga2SiBr after structural relaxation, as listed in Alexandria.

a b c (Å): 4.930 4.930 4.930
angles (deg): 60.00 60.00 60.00
Sites, in units of the cell vectors:
1 Si 0.000 0.000 0.000
2 Ga 0.250 0.250 0.250
3 Ga 0.750 0.750 0.750
4 Br 0.500 0.500 0.500

Results
- Symmetry: No. 225
- Raw formation energy: 313 meV/atom
- Calculated total energy: -2.975 eV per atom
- Relative energy among the computed polymorphs: 249.2 meV per atom


First-principles (PBE) data for Ga2SiBr after structural relaxation, as listed in Alexandria.

a b c (Å): 6.103 6.103 7.405
angles (deg): 65.67 65.67 90.00
Sites, in units of the cell vectors:
1 Si 0.500 0.500 0.000
2 Si 0.250 0.750 0.500
3 Ga 0.564 0.125 0.250
4 Ga 0.186 0.625 0.250
5 Ga 0.375 0.436 0.750
6 Ga 0.875 0.814 0.750
7 Br 0.000 0.000 0.000
8 Br 0.750 0.250 0.500

Results
- Symmetry: No. 122
- Raw formation energy: 64 meV/atom
- Calculated total energy: -3.224 eV per atom
- Relative energy among the computed polymorphs: 0.0 meV per atom


First-principles (PBE) data for GaSiBr3 after structural relaxation, as listed in Alexandria.

a b c (Å): 5.331 5.331 5.331
angles (deg): 90.00 90.00 90.00
Sites, in units of the cell vectors:
1 Si 0.000 0.000 0.000
2 Ga 0.500 0.500 0.500
3 Br 0.000 0.500 0.000
4 Br 0.000 0.000 0.500
5 Br 0.500 0.000 0.000

Results
- Symmetry: No. 221
- Raw formation energy: -313 meV/atom
- Calculated total energy: -3.007 eV per atom
- Relative energy among the computed polymorphs: 0.0 meV per atom


First-principles (PBE) data for GaSiBr2 after structural relaxation, as listed in Alexandria.

a b c (Å): 5.538 5.538 9.392
angles (deg): 72.85 72.85 90.00
Each line ends with the local moment (μB).
Sites, in units of the cell vectors:
1 Si 0.500 0.500 0.000  0.09
2 Si 0.250 0.750 0.500  0.09
3 Ga 0.000 0.000 0.000  0.02
4 Ga 0.750 0.250 0.500  0.02
5 Br 0.584 0.125 0.250  0.00
6 Br 0.166 0.625 0.250  0.00
7 Br 0.375 0.416 0.750  0.00
8 Br 0.875 0.834 0.750  0.00

Results
- Symmetry: No. 122
- Raw formation energy: 181 meV/atom
- Calculated total energy: -2.768 eV per atom
- Relative energy among the computed polymorphs: 126.0 meV per atom


First-principles (PBE) data for GaSiBr2 after structural relaxation, as listed in Alexandria.

a b c (Å): 9.906 9.906 9.906
angles (deg): 21.59 21.59 21.59
Sites, in units of the cell vectors:
1 Si 0.500 0.500 0.500
2 Ga 0.000 0.000 0.000
3 Br 0.895 0.895 0.895
4 Br 0.105 0.105 0.105

Results
- Symmetry: No. 166
- Raw formation energy: 106 meV/atom
- Calculated total energy: -2.843 eV per atom
- Relative energy among the computed polymorphs: 51.1 meV per atom


First-principles (PBE) data for Sm8Ga3SiBr4 after structural relaxation, as listed in Alexandria.

a b c (Å): 8.535 8.647 8.528
angles (deg): 119.52 120.03 90.00
Sites, in units of the cell vectors:
1 Sm 0.238 0.719 0.981
2 Sm 0.238 0.719 0.477
3 Sm 0.259 0.276 0.517
4 Sm 0.743 0.719 0.981
5 Sm 0.257 0.281 0.019
6 Sm 0.741 0.724 0.483
7 Sm 0.762 0.281 0.523
8 Sm 0.762 0.281 0.019
9 Ga 0.500 0.500 0.000
10 Ga 0.500 0.500 0.500
11 Ga 0.000 0.500 0.500
12 Si 0.000 0.500 0.000
13 Br 0.500 0.000 0.000
14 Br 0.500 0.000 0.500
15 Br 0.000 0.000 0.000
16 Br 0.000 0.000 0.500

Results
- Symmetry: No. 12
- Raw formation energy: -923 meV/atom
- Calculated total energy: -4.607 eV per atom


First-principles (PBE) data for Sm8GaSi3Br4 after structural relaxation, as listed in Alexandria.

a b c (Å): 8.492 8.692 8.492
angles (deg): 119.26 120.00 90.00
Sites, in units of the cell vectors:
1 Sm 0.238 0.713 0.975
2 Sm 0.238 0.713 0.477
3 Sm 0.263 0.290 0.526
4 Sm 0.737 0.713 0.975
5 Sm 0.263 0.287 0.025
6 Sm 0.737 0.710 0.474
7 Sm 0.762 0.287 0.523
8 Sm 0.762 0.287 0.025
9 Ga 0.000 0.500 0.000
10 Si 0.500 0.500 0.000
11 Si 0.500 0.500 0.500
12 Si 0.000 0.500 0.500
13 Br 0.500 0.000 0.000
14 Br 0.500 0.000 0.500
15 Br 0.000 0.000 0.000
16 Br 0.000 0.000 0.500

Results
- Symmetry: No. 166
- Raw formation energy: -1016 meV/atom
- Calculated total energy: -5.000 eV per atom


First-principles (PBE) data for Sm4GaSiBr2 after structural relaxation, as listed in Alexandria.

a b c (Å): 4.230 7.421 7.555
angles (deg): 108.91 90.00 90.00
Sites, in units of the cell vectors:
1 Sm 0.500 0.237 0.214
2 Sm 0.500 0.763 0.786
3 Sm 0.000 0.257 0.782
4 Sm 0.000 0.743 0.218
5 Ga 0.500 0.500 0.000
6 Si 0.000 0.000 0.000
7 Br 0.500 0.000 0.500
8 Br 0.000 0.500 0.500

Results
- Symmetry: No. 10
- Raw formation energy: -968 meV/atom
- Calculated total energy: -4.802 eV per atom


First-principles (PBE) data for Sm6GaSi2Br3 after structural relaxation, as listed in Alexandria.

a b c (Å): 4.226 8.712 9.687
angles (deg): 104.58 102.60 90.00
Sites, in units of the cell vectors:
1 Sm 0.341 0.894 0.681
2 Sm 0.676 0.562 0.353
3 Sm 0.659 0.106 0.319
4 Sm 0.008 0.235 0.017
5 Sm 0.992 0.765 0.983
6 Sm 0.324 0.438 0.647
7 Ga 0.500 0.000 0.000
8 Si 0.833 0.666 0.667
9 Si 0.167 0.334 0.333
10 Br 0.500 0.500 0.000
11 Br 0.832 0.167 0.664
12 Br 0.168 0.833 0.336

Results
- Symmetry: No. 12
- Raw formation energy: -999 meV/atom
- Calculated total energy: -4.933 eV per atom


First-principles (PBE) data for Ta2GaSiBr after structural relaxation, as listed in Alexandria.

a b c (Å): 4.753 4.927 4.753
angles (deg): 90.00 90.00 90.00
Sites, in units of the cell vectors:
1 Si 0.000 0.500 0.000
2 Ga 0.500 0.500 0.500
3 Br 0.000 0.000 0.000
4 Ta 0.000 0.000 0.500
5 Ta 0.500 0.000 0.000

Results
- Symmetry: No. 123
- Raw formation energy: 1667 meV/atom
- Calculated total energy: -5.099 eV per atom


First-principles (PBE) data for SmGaBr after structural relaxation, as listed in Alexandria.

a b c (Å): 4.199 4.199 11.700
angles (deg): 79.85 79.66 60.00
Sites, in units of the cell vectors:
1 Sm 0.438 0.441 0.683
2 Sm 0.562 0.559 0.317
3 Ga 0.843 0.842 0.472
4 Ga 0.157 0.158 0.528
5 Br 0.718 0.724 0.839
6 Br 0.282 0.276 0.161

Results
- Symmetry: No. 12
- Raw formation energy: -1252 meV/atom
- Calculated total energy: -4.392 eV per atom


First-principles (PBE) data for SmGaBr after structural relaxation, as listed in Alexandria.

a b c (Å): 4.134 4.132 12.585
angles (deg): 89.03 80.55 59.98
Sites, in units of the cell vectors:
1 Sm 0.795 0.113 0.297
2 Sm 0.205 0.887 0.703
3 Ga 0.639 0.178 0.545
4 Ga 0.361 0.822 0.455
5 Br 0.221 0.407 0.151
6 Br 0.779 0.593 0.849

Results
- Symmetry: No. 12
- Raw formation energy: -1070 meV/atom
- Calculated total energy: -4.209 eV per atom


First-principles (PBE) data for Sm4Ga2Br5 after structural relaxation, as listed in Alexandria.

a b c (Å): 4.083 8.376 12.107
angles (deg): 82.08 99.71 90.00
Sites, in units of the cell vectors:
1 Sm 0.661 0.544 0.322
2 Sm 0.016 0.719 0.032
3 Sm 0.339 0.456 0.678
4 Sm 0.984 0.281 0.968
5 Ga 0.552 0.456 0.104
6 Ga 0.448 0.544 0.896
7 Br 0.137 0.796 0.274
8 Br 0.863 0.204 0.726
9 Br 0.219 0.328 0.439
10 Br 0.500 0.000 0.000
11 Br 0.781 0.672 0.561

Results
- Symmetry: No. 12
- Raw formation energy: -1221 meV/atom
- Calculated total energy: -4.247 eV per atom


First-principles (PBE) data for Sm7GaBr12 after structural relaxation, as listed in Alexandria.

a b c (Å): 9.365 9.365 9.365
angles (deg): 107.96 107.96 107.96
Sites, in units of the cell vectors:
1 Sm 0.962 0.669 0.887
2 Sm 0.331 0.113 0.038
3 Sm 0.113 0.038 0.331
4 Sm 0.500 0.500 0.500
5 Sm 0.887 0.962 0.669
6 Sm 0.669 0.887 0.962
7 Sm 0.038 0.331 0.113
8 Ga 0.000 0.000 0.000
9 Br 0.922 0.309 0.772
10 Br 0.691 0.228 0.078
11 Br 0.473 0.160 0.392
12 Br 0.840 0.608 0.527
13 Br 0.228 0.078 0.691
14 Br 0.608 0.527 0.840
15 Br 0.392 0.473 0.160
16 Br 0.772 0.922 0.309
17 Br 0.160 0.392 0.473
18 Br 0.527 0.840 0.608
19 Br 0.309 0.772 0.922
20 Br 0.078 0.691 0.228

Results
- Symmetry: No. 148
- Raw formation energy: -1595 meV/atom
- Calculated total energy: -4.402 eV per atom


First-principles (PBE) data for SmGaSn2Br8 after structural relaxation, as listed in Alexandria.

a b c (Å): 7.204 6.853 8.936
angles (deg): 90.01 90.02 89.02
Sites, in units of the cell vectors:
1 Sm 0.000 0.000 0.000
2 Ga 0.000 0.000 0.500
3 Sn 0.500 0.500 0.744
4 Sn 0.500 0.500 0.256
5 Br 0.159 0.763 0.235
6 Br 0.677 0.756 0.000
7 Br 0.840 0.236 0.235
8 Br 0.841 0.237 0.765
9 Br 0.323 0.244 0.000
10 Br 0.160 0.764 0.765
11 Br 0.653 0.725 0.500
12 Br 0.347 0.275 0.500

Results
- Symmetry: No. 10
- Raw formation energy: -1080 meV/atom
- Calculated total energy: -3.508 eV per atom